Record 1
PmPaPO | GGA-PBE | optimized geometry

```
PmPaPO
1.0
4.147 0.000 0.000
0.000 7.914 0.000
0.000 0.000 5.877
O P Pm Pa
2 2 2 2
Cartesian
0.000 5.329 5.143 O
0.000 2.585 2.205 O
2.074 6.673 2.659 P
2.074 1.241 5.597 P
2.074 6.337 5.583 Pm
2.074 1.576 2.645 Pm
0.000 4.844 2.800 Pa
0.000 3.070 5.738 Pa
```

Summary:
For the spin magnetization, the calculation gives 2.49 Bohr magnetons per cell. The energy above the most stable polymorph in this dataset comes out at 21 meV/atom.

Record 2
Pr3Tl2HgPdAu2 | GGA-PBE | optimized geometry

```
Pr3Tl2HgPdAu2
1.0
3.990 0.000 0.000
0.000 6.958 4.057
0.000 -6.958 4.057
Au Pr Pd Hg Tl
2 3 1 1 2
Cartesian
0.000 -2.327 4.049 Au
0.000 2.327 4.049 Au
1.995 2.752 6.460 Pr
1.995 -2.752 6.460 Pr
1.995 0.000 3.339 Pr
1.995 0.000 0.006 Pd
0.000 0.000 6.013 Hg
0.000 1.766 1.042 Tl
0.000 -1.766 1.042 Tl
```

Summary:
For the spin magnetization, the calculation gives 0.01 Bohr magnetons per cell.

no.,electronic total energy (eV/atom)
1,-7.481
2,-4.085